# PBE-GGA TbNd2ErSe5, optimized geometry
data_TbNd2ErSe5
_cell_length_a 5.098
_cell_length_b 5.098
_cell_length_c 10.745
_cell_angle_alpha 90.00
_cell_angle_beta 90.00
_cell_angle_gamma 90.00
_symmetry_space_group_name_H-M 'P 4/m m m'
_symmetry_Int_Tables_number 123
_symmetry_space_group_name_Hall '-P 4 2'
loop_
_atom_site_label
_atom_site_type_symbol
_atom_site_fract_x
_atom_site_fract_y
_atom_site_fract_z
_atom_site_occupancy
Tb1 Tb 0.000 0.000 0.000 1
Nd1 Nd 0.500 0.500 0.318 1
Er1 Er 0.000 0.000 0.500 1
Se1 Se 0.000 0.000 0.247 1
Se2 Se 0.000 0.500 0.500 1
Se3 Se 0.500 0.500 0.000 1
# Crystal system = tetragonal
# Formation energy from raw total energies = -29.59 kcal/mol of atoms
# Energy = -5.3000 eV/atom
# ρ = 6.00 g cm⁻³

# PBE-GGA NdEr3Th4Se8, optimized geometry
data_NdEr3Th4Se8
_cell_length_a 8.0926
_cell_length_b 8.0926
_cell_length_c 21.3031
_cell_angle_alpha 90.00
_cell_angle_beta 90.00
_cell_angle_gamma 120.00
_symmetry_space_group_name_H-M 'R -3 m'
_symmetry_Int_Tables_number 166
_symmetry_space_group_name_Hall '-R 3 2"'
loop_
_atom_site_label
_atom_site_type_symbol
_atom_site_fract_x
_atom_site_fract_y
_atom_site_fract_z
_atom_site_occupancy
Nd1 Nd 0.0000 0.0000 0.0000 1
Er1 Er 0.0000 0.5000 0.0000 1
Th1 Th 0.0000 0.0000 0.5000 1
Th2 Th 0.0000 0.5000 0.5000 1
Se1 Se 0.0000 0.0000 0.2565 1
Se2 Se 0.0079 0.5040 0.2547 1
# Crystal system = trigonal
# Formation energy from raw total energies = -37.63 kcal/mol of atoms
# Energy = -6.3825 eV/atom
# ρ = 9.09 g cm⁻³

# PBE-GGA Nd3ErTh4Se8, optimized geometry
data_Nd3ErTh4Se8
_cell_length_a 8.2683
_cell_length_b 8.2683
_cell_length_c 21.1052
_cell_angle_alpha 90.00
_cell_angle_beta 90.00
_cell_angle_gamma 120.00
_symmetry_space_group_name_H-M 'R -3 m'
_symmetry_Int_Tables_number 166
_symmetry_space_group_name_Hall '-R 3 2"'
loop_
_atom_site_label
_atom_site_type_symbol
_atom_site_fract_x
_atom_site_fract_y
_atom_site_fract_z
_atom_site_occupancy
Nd1 Nd 0.0000 0.5000 0.0000 1
Er1 Er 0.0000 0.0000 0.0000 1
Th1 Th 0.0000 0.0000 0.5000 1
Th2 Th 0.0000 0.5000 0.5000 1
Se1 Se 0.0000 0.0000 0.2507 1
Se2 Se 0.0079 0.5039 0.7474 1
# Crystal system = trigonal
# Formation energy from raw total energies = -38.33 kcal/mol of atoms
# Energy = -6.4387 eV/atom
# ρ = 8.61 g cm⁻³

# PBE-GGA Nd2ErTh3Se6, optimized geometry
data_Nd2ErTh3Se6
_cell_length_a 18.537
_cell_length_b 4.130
_cell_length_c 8.492
_cell_angle_alpha 90.00
_cell_angle_beta 106.87
_cell_angle_gamma 90.00
_symmetry_space_group_name_H-M 'C 1 2/m 1'
_symmetry_Int_Tables_number 12
loop_
_symmetry_equiv_pos_as_xyz
'x,y,z'
'-x,-y,-z'
'-x,y,-z'
'x,-y,z'
'x+1/2,y+1/2,z'
'-x+1/2,-y+1/2,-z'
'-x+1/2,y+1/2,-z'
'x+1/2,-y+1/2,z'
loop_
_atom_site_label
_atom_site_type_symbol
_atom_site_fract_x
_atom_site_fract_y
_atom_site_fract_z
_atom_site_occupancy
Nd1 Nd 0.166 0.000 0.333 1
Er1 Er 0.000 0.500 0.000 1
Th1 Th 0.000 0.500 0.500 1
Th2 Th 0.169 0.000 0.834 1
Se1 Se 0.001 0.000 0.763 1
Se2 Se 0.161 0.500 0.081 1
Se3 Se 0.167 0.500 0.582 1
# Crystal system = monoclinic
# Formation energy from raw total energies = -37.95 kcal/mol of atoms
# Energy = -6.4177 eV/atom
# ρ = 8.68 g cm⁻³